Below is an optimized crystal structure of Ba3MnH, with properties calculated at the PBE level.

Geometry as CIF:
```
data_Ba3MnH
_space_group_name_H-M_alt 'P m -3 m'
_space_group_IT_number 221
_space_group_name_Hall '-P 4 2 3'
_cell_length_a 5.5002
_cell_length_b 5.5002
_cell_length_c 5.5002
_cell_angle_alpha 90.00
_cell_angle_beta 90.00
_cell_angle_gamma 90.00
loop_
_atom_site_label
_atom_site_fract_x
_atom_site_fract_y
_atom_site_fract_z
Ba1 0.0000 0.0000 0.5000
Mn1 0.5000 0.5000 0.5000
H1 0.0000 0.0000 0.0000
```

## Properties
- excess energy over the best structure of this formula in the dataset (eV/f.u.) = 0.00

---

Below is an optimized crystal structure of P2IrRu, with properties calculated at the PBE level.

Geometry as CIF:
```
data_P2IrRu
_space_group_name_H-M_alt 'P m m m'
_space_group_IT_number 47
_cell_length_a 2.9463
_cell_length_b 3.0863
_cell_length_c 5.8599
_cell_angle_alpha 90.00
_cell_angle_beta 90.00
_cell_angle_gamma 90.00
loop_
_space_group_symop_operation_xyz
'x,y,z'
'-x,-y,-z'
'-x,-y,z'
'x,y,-z'
'x,-y,-z'
'-x,y,z'
'-x,y,-z'
'x,-y,z'
loop_
_atom_site_label
_atom_site_fract_x
_atom_site_fract_y
_atom_site_fract_z
P1 0.0000 0.0000 0.2464
Ir1 0.5000 0.5000 0.5000
Ru1 0.5000 0.5000 0.0000
```

## Properties
- excess energy over the best structure of this formula in the dataset (eV/f.u.) = 1.82
- formation energy (eV per atom) = -0.007

---

Below is an optimized crystal structure of PtWI3, with properties calculated at the PBE level.

Geometry as CIF:
```
data_PtWI3
_space_group_name_H-M_alt 'P m -3 m'
_space_group_IT_number 221
_space_group_name_Hall '-P 4 2 3'
_cell_length_a 5.3565
_cell_length_b 5.3565
_cell_length_c 5.3565
_cell_angle_alpha 90.00
_cell_angle_beta 90.00
_cell_angle_gamma 90.00
loop_
_atom_site_label
_atom_site_fract_x
_atom_site_fract_y
_atom_site_fract_z
Pt1 0.0000 0.0000 0.0000
W1 0.5000 0.5000 0.5000
I1 0.0000 0.5000 0.5000
```

## Properties
- excess energy over the best structure of this formula in the dataset (eV/f.u.) = 0.00
- E_form (uncorrected) (eV/atom) = 1.27

---

Below is an optimized crystal structure of SrAlP2O, with properties calculated at the PBE level.

Geometry as CIF:
```
data_SrAlP2O
_space_group_name_H-M_alt 'P 4/m m m'
_space_group_IT_number 123
_space_group_name_Hall '-P 4 2'
_cell_length_a 5.2848
_cell_length_b 5.2848
_cell_length_c 3.4473
_cell_angle_alpha 90.00
_cell_angle_beta 90.00
_cell_angle_gamma 90.00
loop_
_atom_site_label
_atom_site_fract_x
_atom_site_fract_y
_atom_site_fract_z
Sr1 0.0000 0.0000 0.0000
Al1 0.5000 0.5000 0.5000
P1 0.0000 0.5000 0.5000
O1 0.5000 0.5000 0.0000
```

## Properties
- excess energy over the best structure of this formula in the dataset (eV/f.u.) = 0.00
- E_form (uncorrected) (eV/atom) = -0.77

---

Below is an optimized crystal structure of TaCd2InOs, with properties calculated at the PBE level.

Geometry as CIF:
```
data_TaCd2InOs
_space_group_name_H-M_alt 'P 4/m m m'
_space_group_IT_number 123
_space_group_name_Hall '-P 4 2'
_cell_length_a 5.2561
_cell_length_b 5.2561
_cell_length_c 4.7972
_cell_angle_alpha 90.00
_cell_angle_beta 90.00
_cell_angle_gamma 90.00
loop_
_atom_site_label
_atom_site_fract_x
_atom_site_fract_y
_atom_site_fract_z
Ta1 0.0000 0.0000 0.0000
Cd1 0.0000 0.5000 0.5000
In1 0.5000 0.5000 0.0000
Os1 0.0000 0.0000 0.5000
```

## Properties
- excess energy over the best structure of this formula in the dataset (eV/f.u.) = 0.00
- formation energy (eV per atom) = 0.839

---

Below is an optimized crystal structure of TmPd6, with properties calculated at the PBE level.

Geometry as CIF:
```
data_TmPd6
_space_group_name_H-M_alt 'I m -3 m'
_space_group_IT_number 229
_space_group_name_Hall '-I 4 2 3'
_cell_length_a 6.9616
_cell_length_b 6.9616
_cell_length_c 6.9616
_cell_angle_alpha 90.00
_cell_angle_beta 90.00
_cell_angle_gamma 90.00
loop_
_atom_site_label
_atom_site_fract_x
_atom_site_fract_y
_atom_site_fract_z
Tm1 0.0000 0.0000 0.0000
Pd1 0.0000 0.2500 0.5000
```

## Properties
- formation energy (eV per atom) = 0.636

---

Below is an optimized crystal structure of K4AgPd3O8, with properties calculated at the PBE level.

Geometry as CIF:
```
data_K4AgPd3O8
_space_group_name_H-M_alt 'C 1 2/m 1'
_space_group_IT_number 12
_cell_length_a 12.9264
_cell_length_b 6.3845
_cell_length_c 6.6898
_cell_angle_alpha 90.00
_cell_angle_beta 120.81
_cell_angle_gamma 90.00
loop_
_space_group_symop_operation_xyz
'x,y,z'
'-x,-y,-z'
'-x,y,-z'
'x,-y,z'
'x+1/2,y+1/2,z'
'-x+1/2,-y+1/2,-z'
'-x+1/2,y+1/2,-z'
'x+1/2,-y+1/2,z'
loop_
_atom_site_label
_atom_site_fract_x
_atom_site_fract_y
_atom_site_fract_z
K1 0.0000 0.0000 0.0000
K2 0.0000 0.5000 0.0000
K3 0.2500 0.2500 0.0000
Ag1 0.0000 0.0000 0.5000
Pd1 0.0000 0.5000 0.5000
Pd2 0.2500 0.2500 0.5000
O1 0.0648 0.2637 0.3832
O2 0.2254 0.0000 0.2837
O3 0.2359 0.5000 0.2906
```

## Properties
- E_form (uncorrected) (eV/atom) = -0.78

---

Below is an optimized crystal structure of CeErMn4, with properties calculated at the PBE level.

Geometry as CIF:
```
data_CeErMn4
_space_group_name_H-M_alt 'F -4 3 m'
_space_group_IT_number 216
_space_group_name_Hall 'F -4 2 3'
_cell_length_a 7.2614
_cell_length_b 7.2614
_cell_length_c 7.2614
_cell_angle_alpha 90.00
_cell_angle_beta 90.00
_cell_angle_gamma 90.00
loop_
_atom_site_label
_atom_site_fract_x
_atom_site_fract_y
_atom_site_fract_z
Ce1 0.0000 0.0000 0.0000
Er1 0.2500 0.2500 0.7500
Mn1 0.1251 0.1251 0.3749
```

## Properties
- formation energy (eV per atom) = 0.097

---

Below is an optimized crystal structure of TaTl2Rh, with properties calculated at the PBE level.

Geometry as CIF:
```
data_TaTl2Rh
_space_group_name_H-M_alt 'P 4/m m m'
_space_group_IT_number 123
_space_group_name_Hall '-P 4 2'
_cell_length_a 3.2169
_cell_length_b 3.2169
_cell_length_c 7.4680
_cell_angle_alpha 90.00
_cell_angle_beta 90.00
_cell_angle_gamma 90.00
loop_
_atom_site_label
_atom_site_fract_x
_atom_site_fract_y
_atom_site_fract_z
Ta1 0.0000 0.0000 0.0000
Tl1 0.5000 0.5000 0.2695
Rh1 0.0000 0.0000 0.5000
```

## Properties
- excess energy over the best structure of this formula in the dataset (eV/f.u.) = 1.36
- formation energy (eV per atom) = 0.437

---

Below is an optimized crystal structure of TbNd3Pt8, with properties calculated at the PBE level.

Geometry as CIF:
```
data_TbNd3Pt8
_space_group_name_H-M_alt 'R 3 m'
_space_group_IT_number 160
_space_group_name_Hall 'R 3 -2"'
_cell_length_a 5.4996
_cell_length_b 5.4996
_cell_length_c 26.9625
_cell_angle_alpha 90.00
_cell_angle_beta 90.00
_cell_angle_gamma 120.00
loop_
_atom_site_label
_atom_site_fract_x
_atom_site_fract_y
_atom_site_fract_z
Tb1 0.0000 0.0000 0.0000
Nd1 0.0000 0.0000 0.3741
Nd2 0.0000 0.0000 0.4997
Nd3 0.0000 0.0000 0.8753
Pt1 0.0000 0.0000 0.1872
Pt2 0.0000 0.0000 0.6871
Pt3 0.0003 0.5002 0.9378
Pt4 0.1672 0.3345 0.7699
```

## Properties
- formation energy (eV per atom) = -1.074

---

Below is an optimized crystal structure of NaLiTiMo2, with properties calculated at the PBE level.

Geometry as CIF:
```
data_NaLiTiMo2
_space_group_name_H-M_alt 'P 4/m m m'
_space_group_IT_number 123
_space_group_name_Hall '-P 4 2'
_cell_length_a 4.6406
_cell_length_b 4.6406
_cell_length_c 4.6480
_cell_angle_alpha 90.00
_cell_angle_beta 90.00
_cell_angle_gamma 90.00
loop_
_atom_site_label
_atom_site_fract_x
_atom_site_fract_y
_atom_site_fract_z
Na1 0.0000 0.0000 0.0000
Li1 0.5000 0.5000 0.5000
Ti1 0.0000 0.0000 0.5000
Mo1 0.0000 0.5000 0.0000
```

## Properties
- formation energy (eV per atom) = 2.298

---

Below is an optimized crystal structure of Ac8Co2Hg, with properties calculated at the PBE level.

Geometry as CIF:
```
data_Ac8Co2Hg
_space_group_name_H-M_alt 'C 1 m 1'
_space_group_IT_number 8
_cell_length_a 8.9478
_cell_length_b 14.5510
_cell_length_c 6.3247
_cell_angle_alpha 90.00
_cell_angle_beta 105.18
_cell_angle_gamma 90.00
loop_
_space_group_symop_operation_xyz
'x,y,z'
'x,-y,z'
'x+1/2,y+1/2,z'
'x+1/2,-y+1/2,z'
loop_
_atom_site_label
_atom_site_fract_x
_atom_site_fract_y
_atom_site_fract_z
Ac1 0.0000 0.0000 0.0000
Ac2 0.1021 0.3681 0.7701
Ac3 0.1688 0.1315 0.6194
Ac4 0.2687 0.5000 0.3829
Ac5 0.3874 0.2343 0.1917
Co1 0.3872 0.2798 0.6950
Hg1 0.3890 0.0000 0.1075
```

## Properties
- formation energy (eV per atom) = 0.022

---

Below is an optimized crystal structure of Dy12Ho2Er5, with properties calculated at the PBE level.

Geometry as CIF:
```
data_Dy12Ho2Er5
_space_group_name_H-M_alt 'P -1'
_space_group_IT_number 2
_cell_length_a 6.4422
_cell_length_b 8.7828
_cell_length_c 11.3409
_cell_angle_alpha 109.51
_cell_angle_beta 92.85
_cell_angle_gamma 98.08
loop_
_space_group_symop_operation_xyz
'x,y,z'
'-x,-y,-z'
loop_
_atom_site_label
_atom_site_fract_x
_atom_site_fract_y
_atom_site_fract_z
Dy1 0.0257 0.2007 0.1363
Dy2 0.1675 0.8732 0.5756
Dy3 0.2050 0.1688 0.8580
Dy4 0.2766 0.5968 0.0410
Dy5 0.4445 0.6569 0.7688
Dy6 0.4698 0.2607 0.6301
Ho1 0.2352 0.4428 0.4596
Er1 0.0118 0.3895 0.7175
Er2 0.3041 0.0103 0.2998
Er3 0.5000 0.0000 0.0000
```

## Properties
- excess energy over the best structure of this formula in the dataset (eV/f.u.) = 0.00
- formation energy (eV per atom) = 0.090

---

Below is an optimized crystal structure of Sm12In3Sn, with properties calculated at the PBE level.

Geometry as CIF:
```
data_Sm12In3Sn
_space_group_name_H-M_alt 'P 4/m m m'
_space_group_IT_number 123
_space_group_name_Hall '-P 4 2'
_cell_length_a 4.9223
_cell_length_b 4.9223
_cell_length_c 19.7060
_cell_angle_alpha 90.00
_cell_angle_beta 90.00
_cell_angle_gamma 90.00
loop_
_atom_site_label
_atom_site_fract_x
_atom_site_fract_y
_atom_site_fract_z
Sm1 0.0000 0.0000 0.0000
Sm2 0.0000 0.0000 0.2486
Sm3 0.0000 0.0000 0.5000
Sm4 0.0000 0.5000 0.1231
Sm5 0.0000 0.5000 0.3743
In1 0.5000 0.5000 0.2497
In2 0.5000 0.5000 0.5000
Sn1 0.5000 0.5000 0.0000
```

## Properties
- formation energy (eV per atom) = -0.318

---

Below is an optimized crystal structure of YCu2Se, with properties calculated at the PBE level.

Geometry as CIF:
```
data_YCu2Se
_space_group_name_H-M_alt 'C 1 2/m 1'
_space_group_IT_number 12
_cell_length_a 10.5274
_cell_length_b 3.9621
_cell_length_c 3.9996
_cell_angle_alpha 90.00
_cell_angle_beta 96.34
_cell_angle_gamma 90.00
loop_
_space_group_symop_operation_xyz
'x,y,z'
'-x,-y,-z'
'-x,y,-z'
'x,-y,z'
'x+1/2,y+1/2,z'
'-x+1/2,-y+1/2,-z'
'-x+1/2,y+1/2,-z'
'x+1/2,-y+1/2,z'
loop_
_atom_site_label
_atom_site_fract_x
_atom_site_fract_y
_atom_site_fract_z
Y1 0.0000 0.0000 0.0000
Cu1 0.2177 0.5000 0.8256
Se1 0.0000 0.5000 0.5000
```

## Properties
- E_form (uncorrected) (eV/atom) = -0.44

---

Below is an optimized crystal structure of ScZnHg, with properties calculated at the PBE level.

Geometry as CIF:
```
data_ScZnHg
_space_group_name_H-M_alt 'P 3 m 1'
_space_group_IT_number 156
_cell_length_a 3.4259
_cell_length_b 3.4259
_cell_length_c 6.3372
_cell_angle_alpha 90.00
_cell_angle_beta 90.00
_cell_angle_gamma 120.00
loop_
_space_group_symop_operation_xyz
'x,y,z'
'-y,x-y,z'
'-x+y,-x,z'
'-y,-x,z'
'-x+y,y,z'
'x,x-y,z'
loop_
_atom_site_label
_atom_site_fract_x
_atom_site_fract_y
_atom_site_fract_z
Sc1 0.0000 0.0000 0.0000
Zn1 0.3333 0.6667 0.3215
Hg1 0.6667 0.3333 0.6450
```

## Properties
- formation energy (eV per atom) = -0.137

---

Below is an optimized crystal structure of LaAlNF2, with properties calculated at the PBE level.

Geometry as CIF:
```
data_LaAlNF2
_space_group_name_H-M_alt 'P 4/m m m'
_space_group_IT_number 123
_space_group_name_Hall '-P 4 2'
_cell_length_a 4.1608
_cell_length_b 4.1608
_cell_length_c 3.7009
_cell_angle_alpha 90.00
_cell_angle_beta 90.00
_cell_angle_gamma 90.00
loop_
_atom_site_label
_atom_site_fract_x
_atom_site_fract_y
_atom_site_fract_z
La1 0.0000 0.0000 0.0000
Al1 0.5000 0.5000 0.5000
N1 0.5000 0.5000 0.0000
F1 0.0000 0.5000 0.5000
```

## Properties
- excess energy over the best structure of this formula in the dataset (eV/f.u.) = 0.00
- E_form (uncorrected) (eV/atom) = -2.15

---

Below is an optimized crystal structure of SiRu8, with properties calculated at the PBE level.

Geometry as CIF:
```
data_SiRu8
_space_group_name_H-M_alt 'I 4/m m m'
_space_group_IT_number 139
_space_group_name_Hall '-I 4 2'
_cell_length_a 8.0869
_cell_length_b 8.0869
_cell_length_c 3.8110
_cell_angle_alpha 90.00
_cell_angle_beta 90.00
_cell_angle_gamma 90.00
loop_
_atom_site_label
_atom_site_fract_x
_atom_site_fract_y
_atom_site_fract_z
Si1 0.0000 0.0000 0.0000
Ru1 0.0000 0.3377 0.0000
Ru2 0.1704 0.1704 0.5000
```

## Properties
- E_form (uncorrected) (eV/atom) = 0.01

---

Below is an optimized crystal structure of Tm12Sc3In5, with properties calculated at the PBE level.

Geometry as CIF:
```
data_Tm12Sc3In5
_space_group_name_H-M_alt 'I a -3 d'
_space_group_IT_number 230
_space_group_name_Hall '-I 4bd 2c 3'
_cell_length_a 17.9157
_cell_length_b 17.9157
_cell_length_c 17.9157
_cell_angle_alpha 90.00
_cell_angle_beta 90.00
_cell_angle_gamma 90.00
loop_
_atom_site_label
_atom_site_fract_x
_atom_site_fract_y
_atom_site_fract_z
Tm1 0.0158 0.0773 0.6469
Sc1 0.0000 0.2500 0.1250
In1 0.0000 0.0000 0.0000
In2 0.0000 0.2500 0.3750
```

## Properties
- formation energy (eV per atom) = 0.558

---

Below is an optimized crystal structure of Pm4Dy5Sc4, with properties calculated at the PBE level.

Geometry as CIF:
```
data_Pm4Dy5Sc4
_space_group_name_H-M_alt 'I 4/m'
_space_group_IT_number 87
_space_group_name_Hall '-I 4'
_cell_length_a 12.5721
_cell_length_b 12.5721
_cell_length_c 4.9405
_cell_angle_alpha 90.00
_cell_angle_beta 90.00
_cell_angle_gamma 90.00
loop_
_atom_site_label
_atom_site_fract_x
_atom_site_fract_y
_atom_site_fract_z
Pm1 0.0791 0.6205 0.0000
Dy1 0.0000 0.0000 0.0000
Dy2 0.0425 0.8100 0.5000
Sc1 0.1549 0.2311 0.0000
```

## Properties
- formation energy (eV per atom) = 0.047

---

In the order shown, the computed ρ values come out to 4.7, 11.1, 8.2, 3.3, 8.9, 7.9, 5.0, 9.1, 14.9, 15.2, 4.5, 8.9, 8.7, 7.9, 5.9, 8.0, 5.6, 11.1, 6.3, 6.7 g cm⁻³.